[1]
DFT (PBE-GGA) results for PmPa2GaN5 after structural relaxation.

As for the energy: -8.727 eV/atom. The density of states at the Fermi level comes out at 0.40 states/eV per atom. Its calculated volume is 14.4 A^3/atom. For the spin magnetization, the calculation gives 0.000 μB/atom. The value obtained for the energy relative to the elements, uncorrected is -1.13 eV per atom.

The space group is Cmc2_1 (No. 36) and the conventional cell measures 3.3333, 16.6358 and 9.3257 Å, with angles of 90.00, 90.00 and 90.00 degrees. The distinct sites, in fractional coordinates, are Pm at (0.0000, 0.2211, 0.0000), Pa at (0.0000, 0.0937, 0.6852), Pa at (0.0000, 0.1030, 0.3018), Ga at (0.0000, 0.4470, 0.4721), N at (0.0000, 0.0313, 0.0647), N at (0.0000, 0.3244, 0.6932), N at (0.0000, 0.3462, 0.3478), N at (0.0000, 0.3665, 0.0207) and N at (0.0000, 0.4938, 0.7877).

[2]
DFT (PBE-GGA) results for Pm2PaGaN5 after structural relaxation.

As for the energy: -8.125 eV/atom. The density of states at the Fermi level comes out at 0.57 states/eV per atom. Its calculated volume is 14.2 A^3/atom. For the spin magnetization, the calculation gives 0.000 μB/atom. The value obtained for the energy relative to the elements, uncorrected is -1.05 eV per atom.

The space group is Cmc2_1 (No. 36) and the conventional cell measures 3.4519, 14.2425 and 10.4063 Å, with angles of 90.00, 90.00 and 90.00 degrees. The distinct sites, in fractional coordinates, are Pm at (0.0000, 0.1072, 0.0000), Pm at (0.0000, 0.1227, 0.6032), Pa at (0.0000, 0.2123, 0.3118), Ga at (0.0000, 0.4877, 0.7817), N at (0.0000, 0.0529, 0.3579), N at (0.0000, 0.2837, 0.9535), N at (0.0000, 0.3008, 0.6739), N at (0.0000, 0.3694, 0.3156) and N at (0.0000, 0.4976, 0.0937).

[3]
DFT (PBE-GGA) results for Pr2PaGaN5 after structural relaxation.

As for the energy: -8.091 eV/atom. The density of states at the Fermi level comes out at 0.69 states/eV per atom. Its calculated volume is 14.7 A^3/atom. For the spin magnetization, the calculation gives 0.000 μB/atom. The value obtained for the energy relative to the elements, uncorrected is -1.01 eV per atom.

The space group is Cmc2_1 (No. 36) and the conventional cell measures 3.4836, 14.3127 and 10.5780 Å, with angles of 90.00, 90.00 and 90.00 degrees. The distinct sites, in fractional coordinates, are Pr at (0.0000, 0.1085, 0.0000), Pr at (0.0000, 0.1245, 0.6032), Pa at (0.0000, 0.2110, 0.3111), Ga at (0.0000, 0.4889, 0.7801), N at (0.0000, 0.0517, 0.3540), N at (0.0000, 0.2847, 0.9495), N at (0.0000, 0.3013, 0.6760), N at (0.0000, 0.3678, 0.3138) and N at (0.0000, 0.4977, 0.0946).

[4]
DFT (PBE-GGA) results for PaGaPtN after structural relaxation.

As for the energy: -7.880 eV/atom. The density of states at the Fermi level comes out at 0.82 states/eV per atom. Its calculated volume is 16.7 A^3/atom. For the spin magnetization, the calculation gives 0.000 μB/atom. The value obtained for the energy relative to the elements, uncorrected is -1.16 eV per atom.

The space group is P4/nmm (No. 129, origin choice 2) and the conventional cell measures 4.0565, 4.0565 and 8.1243 Å, with angles of 90.00, 90.00 and 90.00 degrees. The distinct sites, in fractional coordinates, are Pa at (0.2500, 0.2500, 0.1358), Ga at (0.2500, 0.2500, 0.6865), Pt at (0.2500, 0.7500, 0.5000) and N at (0.2500, 0.7500, 0.0000).

[5]
DFT (PBE-GGA) results for PuPa2GaN5 after structural relaxation.

As for the energy: -9.791 eV/atom. The density of states at the Fermi level comes out at 1.04 states/eV per atom. Its calculated volume is 14.5 A^3/atom. For the spin magnetization, the calculation gives 0.654 μB/atom. The value obtained for the energy relative to the elements, uncorrected is -1.13 eV per atom.

The space group is Cmc2_1 (No. 36) and the conventional cell measures 3.4765, 13.6319 and 11.0238 Å, with angles of 90.00, 90.00 and 90.00 degrees. The distinct sites, in fractional coordinates, are Pu at (0.0000, 0.2092, 0.0000), Pa at (0.0000, 0.1255, 0.2691), Pa at (0.0000, 0.1379, 0.7179), Ga at (0.0000, 0.4937, 0.0080), N at (0.0000, 0.0427, 0.0791), N at (0.0000, 0.2899, 0.3418), N at (0.0000, 0.2963, 0.6627), N at (0.0000, 0.3630, 0.0862) and N at (0.0000, 0.4746, 0.8286).

[6]
DFT (PBE-GGA) results for RbPa2GaN5 after structural relaxation.

As for the energy: -7.974 eV/atom. The density of states at the Fermi level comes out at 0.48 states/eV per atom. Its calculated volume is 14.8 A^3/atom. For the spin magnetization, the calculation gives 0.100 μB/atom. The value obtained for the energy relative to the elements, uncorrected is -0.79 eV per atom.

The space group is I4/mcm (No. 140) and the conventional cell measures 6.7587, 6.7587 and 11.6794 Å, with angles of 90.00, 90.00 and 90.00 degrees. The distinct sites, in fractional coordinates, are Rb at (0.0000, 0.0000, 0.2500), Pa at (0.1926, 0.3074, 0.0000), Ga at (0.0000, 0.5000, 0.2500), N at (0.0000, 0.0000, 0.0000) and N at (0.1372, 0.3628, 0.3762).

[7]
DFT (PBE-GGA) results for PaGaRuN after structural relaxation.

As for the energy: -8.378 eV/atom. The density of states at the Fermi level comes out at 0.93 states/eV per atom. Its calculated volume is 16.2 A^3/atom. For the spin magnetization, the calculation gives 0.000 μB/atom. The value obtained for the energy relative to the elements, uncorrected is -0.85 eV per atom.

The space group is P4/nmm (No. 129, origin choice 2) and the conventional cell measures 4.0799, 4.0799 and 7.7788 Å, with angles of 90.00, 90.00 and 90.00 degrees. The distinct sites, in fractional coordinates, are Pa at (0.2500, 0.2500, 0.1420), Ga at (0.2500, 0.2500, 0.6814), Ru at (0.2500, 0.7500, 0.5000) and N at (0.2500, 0.7500, 0.0000).

[8]
DFT (PBE-GGA) results for SmPa2GaN5 after structural relaxation.

As for the energy: -8.729 eV/atom. The density of states at the Fermi level comes out at 0.41 states/eV per atom. Its calculated volume is 14.3 A^3/atom. For the spin magnetization, the calculation gives 0.001 μB/atom. The value obtained for the energy relative to the elements, uncorrected is -1.13 eV per atom.

The space group is Cmc2_1 (No. 36) and the conventional cell measures 3.3321, 16.5043 and 9.3428 Å, with angles of 90.00, 90.00 and 90.00 degrees. The distinct sites, in fractional coordinates, are Sm at (0.0000, 0.2202, 0.0000), Pa at (0.0000, 0.0944, 0.6846), Pa at (0.0000, 0.1040, 0.3015), Ga at (0.0000, 0.4473, 0.4714), N at (0.0000, 0.0315, 0.0643), N at (0.0000, 0.3233, 0.6916), N at (0.0000, 0.3452, 0.3482), N at (0.0000, 0.3655, 0.0197) and N at (0.0000, 0.4937, 0.7870).

[9]
DFT (PBE-GGA) results for PaGaSn2N after structural relaxation.

As for the energy: -6.367 eV/atom. The density of states at the Fermi level comes out at 0.65 states/eV per atom. Its calculated volume is 23.4 A^3/atom. For the spin magnetization, the calculation gives 0.000 μB/atom. The value obtained for the energy relative to the elements, uncorrected is -0.60 eV per atom.

The space group is P4/nmm (No. 129, origin choice 2) and the conventional cell measures 3.9523, 3.9523 and 15.0108 Å, with angles of 90.00, 90.00 and 90.00 degrees. The distinct sites, in fractional coordinates, are Pa at (0.2500, 0.2500, 0.0770), Ga at (0.2500, 0.2500, 0.6188), Sn at (0.2500, 0.2500, 0.4279), Sn at (0.2500, 0.2500, 0.7962) and N at (0.2500, 0.7500, 0.0000).

[10]
DFT (PBE-GGA) results for Sr3Pa3GaN8 after structural relaxation.

As for the energy: -7.941 eV/atom. Its calculated volume is 17.2 A^3/atom. For the spin magnetization, the calculation gives 0.000 μB/atom. The value obtained for the energy relative to the elements, uncorrected is -1.06 eV per atom.

The space group is C2/m (No. 12) and the conventional cell measures 11.8795, 7.2712 and 7.2446 Å, with angles of 90.00, 124.50 and 90.00 degrees. The distinct sites, in fractional coordinates, are Sr at (0.0000, 0.0000, 0.0000), Sr at (0.2500, 0.2500, 0.0000), Pa at (0.0000, 0.5000, 0.5000), Pa at (0.2500, 0.2500, 0.5000), Ga at (0.0000, 0.0000, 0.5000), N at (0.0284, 0.2718, 0.3071), N at (0.2025, 0.0000, 0.6786) and N at (0.2372, 0.5000, 0.7075).

[11]
DFT (PBE-GGA) results for Sr4Pa3GaN8 after structural relaxation.

As for the energy: -7.651 eV/atom. The density of states at the Fermi level comes out at 0.21 states/eV per atom. Its calculated volume is 17.1 A^3/atom. For the spin magnetization, the calculation gives 0.000 μB/atom. The value obtained for the energy relative to the elements, uncorrected is -1.10 eV per atom.

The space group is R-3m (No. 166, hexagonal axes) and the conventional cell measures 7.3177, 7.3177 and 17.7163 Å, with angles of 90.00, 90.00 and 120.00 degrees. The distinct sites, in fractional coordinates, are Sr at (0.0000, 0.0000, 0.0000), Sr at (0.0000, 0.5000, 0.0000), Pa at (0.0000, 0.5000, 0.5000), Ga at (0.0000, 0.0000, 0.5000), N at (0.0000, 0.0000, 0.2372) and N at (0.0418, 0.5209, 0.7677).

[12]
DFT (PBE-GGA) results for SrPa2GaN5 after structural relaxation.

As for the energy: -8.463 eV/atom. Its calculated volume is 14.1 A^3/atom. For the spin magnetization, the calculation gives 0.000 μB/atom. The value obtained for the energy relative to the elements, uncorrected is -1.20 eV per atom.

The space group is I4/mcm (No. 140) and the conventional cell measures 6.6783, 6.6783 and 11.3919 Å, with angles of 90.00, 90.00 and 90.00 degrees. The distinct sites, in fractional coordinates, are Sr at (0.0000, 0.0000, 0.2500), Pa at (0.1830, 0.3170, 0.0000), Ga at (0.0000, 0.5000, 0.2500), N at (0.0000, 0.0000, 0.0000) and N at (0.1476, 0.3524, 0.3699).

[13]
DFT (PBE-GGA) results for Pa2TaGaN6 after structural relaxation.

As for the energy: -9.363 eV/atom. Its calculated volume is 13.9 A^3/atom. For the spin magnetization, the calculation gives 0.000 μB/atom. The value obtained for the energy relative to the elements, uncorrected is -0.98 eV per atom.

The space group is P4mm (No. 99) and the conventional cell measures 5.2752, 5.2752 and 4.9902 Å, with angles of 90.00, 90.00 and 90.00 degrees. The distinct sites, in fractional coordinates, are Pa at (0.0000, 0.5000, 0.0000), Ta at (0.0000, 0.0000, 0.5910), Ga at (0.5000, 0.5000, 0.5750), N at (0.0000, 0.0000, 0.2042), N at (0.2495, 0.2495, 0.7487) and N at (0.5000, 0.5000, 0.1955).

[14]
DFT (PBE-GGA) results for Pa2GaTcN5 after structural relaxation.

As for the energy: -9.148 eV/atom. The density of states at the Fermi level comes out at 0.27 states/eV per atom. Its calculated volume is 12.3 A^3/atom. For the spin magnetization, the calculation gives 0.086 μB/atom. The value obtained for the energy relative to the elements, uncorrected is -0.92 eV per atom.

The space group is Cmc2_1 (No. 36) and the conventional cell measures 3.3915, 14.0544 and 9.3030 Å, with angles of 90.00, 90.00 and 90.00 degrees. The distinct sites, in fractional coordinates, are Pa at (0.0000, 0.1315, 0.0000), Pa at (0.0000, 0.1321, 0.4624), Ga at (0.0000, 0.4880, 0.2214), Tc at (0.0000, 0.2303, 0.7349), N at (0.0000, 0.0764, 0.7473), N at (0.0000, 0.2860, 0.3766), N at (0.0000, 0.2886, 0.0917), N at (0.0000, 0.3775, 0.7845) and N at (0.0000, 0.4836, 0.5070).

[15]
DFT (PBE-GGA) results for PaGaTe2N after structural relaxation.

As for the energy: -6.436 eV/atom. The density of states at the Fermi level comes out at 0.30 states/eV per atom. Its calculated volume is 24.2 A^3/atom. For the spin magnetization, the calculation gives 0.000 μB/atom. The value obtained for the energy relative to the elements, uncorrected is -1.01 eV per atom.

The space group is P4/nmm (No. 129, origin choice 2) and the conventional cell measures 3.9740, 3.9740 and 15.3437 Å, with angles of 90.00, 90.00 and 90.00 degrees. The distinct sites, in fractional coordinates, are Pa at (0.2500, 0.2500, 0.0761), Ga at (0.2500, 0.2500, 0.5745), Te at (0.2500, 0.2500, 0.3903), Te at (0.2500, 0.2500, 0.8126) and N at (0.2500, 0.7500, 0.0000).

[16]
DFT (PBE-GGA) results for ThPa2GaN5 after structural relaxation.

As for the energy: -9.018 eV/atom. The density of states at the Fermi level comes out at 0.65 states/eV per atom. Its calculated volume is 14.5 A^3/atom. For the spin magnetization, the calculation gives 0.073 μB/atom. The value obtained for the energy relative to the elements, uncorrected is -1.12 eV per atom.

The space group is Cmc2_1 (No. 36) and the conventional cell measures 3.3476, 16.5977 and 9.3659 Å, with angles of 90.00, 90.00 and 90.00 degrees. The distinct sites, in fractional coordinates, are Th at (0.0000, 0.2218, 0.0000), Pa at (0.0000, 0.0900, 0.6825), Pa at (0.0000, 0.1048, 0.3066), Ga at (0.0000, 0.4492, 0.4683), N at (0.0000, 0.0381, 0.0639), N at (0.0000, 0.3166, 0.6899), N at (0.0000, 0.3455, 0.3494), N at (0.0000, 0.3683, 0.0167) and N at (0.0000, 0.4930, 0.7851).

[17]
DFT (PBE-GGA) results for Pa2TiGaN5 after structural relaxation.

As for the energy: -9.193 eV/atom. The density of states at the Fermi level comes out at 0.70 states/eV per atom. Its calculated volume is 12.1 A^3/atom. For the spin magnetization, the calculation gives 0.000 μB/atom. The value obtained for the energy relative to the elements, uncorrected is -1.24 eV per atom.

The space group is Cmc2_1 (No. 36) and the conventional cell measures 3.2793, 13.5212 and 9.8231 Å, with angles of 90.00, 90.00 and 90.00 degrees. The distinct sites, in fractional coordinates, are Pa at (0.0000, 0.1237, 0.0000), Pa at (0.0000, 0.1350, 0.5900), Ti at (0.0000, 0.2137, 0.3031), Ga at (0.0000, 0.4829, 0.7784), N at (0.0000, 0.0593, 0.3542), N at (0.0000, 0.2873, 0.9521), N at (0.0000, 0.3014, 0.6589), N at (0.0000, 0.3627, 0.3101) and N at (0.0000, 0.4970, 0.0798).

[18]
DFT (PBE-GGA) results for Pa2ZnGaN5 after structural relaxation.

As for the energy: -8.126 eV/atom. The density of states at the Fermi level comes out at 0.00 states/eV per atom. Its calculated volume is 12.8 A^3/atom. For the spin magnetization, the calculation gives 0.000 μB/atom. The value obtained for the energy relative to the elements, uncorrected is -0.91 eV per atom.

The space group is Cmc2_1 (No. 36) and the conventional cell measures 3.4371, 13.5011 and 9.9087 Å, with angles of 90.00, 90.00 and 90.00 degrees. The distinct sites, in fractional coordinates, are Pa at (0.0000, 0.1285, 0.0000), Pa at (0.0000, 0.1342, 0.4400), Zn at (0.0000, 0.2201, 0.7200), Ga at (0.0000, 0.4876, 0.2192), N at (0.0000, 0.0639, 0.7799), N at (0.0000, 0.2956, 0.4041), N at (0.0000, 0.2982, 0.0723), N at (0.0000, 0.3681, 0.7822) and N at (0.0000, 0.4887, 0.5214).